First-principles (PBE-GGA) data for La3Nd2Y5 after structural relaxation, as listed in the Alexandria database.

a = 9.231 Å, b = 9.215 Å, c = 11.342 Å
α = 122.27°, β = 122.30°, γ = 71.71°
Fractional coordinates of all 20 atoms:
La 0.274 0.527 0.751
Y 0.725 0.475 0.949
La 0.771 0.021 0.041
La 0.023 0.776 0.249
Nd 0.765 0.013 0.740
Nd 0.524 0.272 0.260
Y 0.026 0.776 0.552
Y 0.470 0.720 0.440
La 0.726 0.473 0.249
Y 0.862 0.610 0.732
Y 0.974 0.224 0.448
Nd 0.235 0.987 0.260
La 0.977 0.224 0.751
La 0.229 0.979 0.959
Y 0.138 0.390 0.268
Nd 0.476 0.728 0.740
Y 0.369 0.122 0.732
Y 0.631 0.878 0.268
Y 0.530 0.280 0.560
Y 0.275 0.525 0.051

The value obtained for the formation energy is 1.61 eV per formula unit. The value obtained for the size of the total moment is 0.0 μB per formula unit. The calculation puts the energy at -110.1 eV for the cell shown. The space group is C2/c (15).